PBE with a Hubbard U La4Ni3O10, relaxed; space-group type = I4/mmm; total energy = -6.91 eV per atom; density of states at the Fermi level = 2.755 states/eV/cell
1.0
-1.937 1.937 14.005
1.937 -1.937 14.005
1.937 1.937 -14.005
La Ni O
4 3 10
direct
0.067 0.067 0.000
0.198 0.198 0.000
0.802 0.802 0.000
0.933 0.933 0.000
0.360 0.360 0.000
0.500 0.500 0.000
0.640 0.640 0.000
0.000 0.500 0.500
0.140 0.640 0.500
0.283 0.283 0.000
0.360 0.860 0.500
0.431 0.431 0.000
0.500 0.000 0.500
0.569 0.569 0.000
0.640 0.140 0.500
0.717 0.717 0.000
0.860 0.360 0.500